No. 1
A plane-wave DFT calculation with PBE was carried out for crystalline CsHoFeTe3 at its relaxed geometry.

Unit cell a=9.915 b=4.328 c=11.386 alpha=90.00 beta=113.99 gamma=90.00
Fractional coordinates of all 12 atoms:
Fe 0.934 0.750 0.420
Fe 0.066 0.250 0.580
Ho 0.328 0.750 0.855
Ho 0.672 0.250 0.145
Cs 0.242 0.250 0.276
Cs 0.758 0.750 0.724
Te 0.455 0.750 0.145
Te 0.902 0.750 0.178
Te 0.545 0.250 0.855
Te 0.780 0.250 0.445
Te 0.220 0.750 0.555
Te 0.098 0.250 0.822

**Raw total energy**: -4.75 eV/atom
**SG**: No. 11



No. 2
A plane-wave DFT calculation with PBE was carried out for crystalline CsHoFeTe3 at its relaxed geometry.

Unit cell a=9.587 b=9.587 c=9.903 alpha=101.07 beta=101.07 gamma=27.72
Fractional coordinates of all 12 atoms:
Cs 0.154 0.154 0.564
Cs 0.846 0.846 0.436
Te 0.352 0.352 0.734
Te 0.500 0.500 0.500
Te 0.663 0.663 0.861
Te 0.337 0.337 0.139
Te 0.648 0.648 0.266
Te 0.000 0.000 0.000
Ho 0.166 0.166 0.074
Ho 0.834 0.834 0.926
Fe 0.502 0.502 0.776
Fe 0.498 0.498 0.224

**Raw total energy**: -4.52 eV/atom
**SG**: No. 12